# 1
Density functional theory data (PBE) for RbNa2Tl2 after structural relaxation.

## Properties
**Formation energy**: -0.05 eV/atom
**Calculated volume**: 351.90 Å³/cell
**Relative energy among the computed polymorphs**: 0 meV/atom

CIF file:
```
data_RbNa2Tl2
_cell_length_a 9.675
_cell_length_b 9.675
_cell_length_c 3.759
_cell_angle_alpha 90.00
_cell_angle_beta 90.00
_cell_angle_gamma 90.00
_symmetry_space_group_name_H-M 'P 4/m b m'
_symmetry_Int_Tables_number 127
_symmetry_space_group_name_Hall '-P 4 2ab'
loop_
_atom_site_label
_atom_site_type_symbol
_atom_site_fract_x
_atom_site_fract_y
_atom_site_fract_z
Rb1 Rb 0.000 0.000 0.000
Na1 Na 0.170 0.330 0.500
Tl1 Tl 0.119 0.619 0.000
```

***

# 2
Density functional theory data (PBE) for Rb6Na12Tl after structural relaxation.

## Properties
**Formation energy**: 0.06 eV/atom
**Calculated volume**: 2945.08 Å³/cell

CIF file:
```
data_Rb6Na12Tl
_cell_length_a 15.8909
_cell_length_b 15.8909
_cell_length_c 13.4670
_cell_angle_alpha 90.00
_cell_angle_beta 90.00
_cell_angle_gamma 120.00
_symmetry_space_group_name_H-M 'R -3'
_symmetry_Int_Tables_number 148
_symmetry_space_group_name_Hall '-R 3'
loop_
_atom_site_label
_atom_site_type_symbol
_atom_site_fract_x
_atom_site_fract_y
_atom_site_fract_z
Rb1 Rb 0.0520 0.8693 0.2497
Na1 Na 0.0455 0.8080 0.5470
Na2 Na 0.0749 0.5904 0.6215
Tl1 Tl 0.0000 0.0000 0.5000
```